# 1
Er2LuScIn2: relaxed, GGA-PBE.

a b c (Å): 5.2291 5.2291 6.5908
angles (deg): 90.00 90.00 120.00
Closest atoms and distances in Å follow each position.
Element x y z (fractional)
Sc: 0.3333 0.6667 0.5000  5 In 3.02-3.30
Er: 0.6667 0.3333 0.2543  2 Er 3.24-3.35, 6 In 3.43-3.45, 3 Sc 3.43, 3 Lu 3.45
In: 0.0000 0.0000 0.5000  3 Sc 3.02, 2 Lu 3.30
Er: 0.6667 0.3333 0.7457  2 Er 3.24-3.35, 6 In 3.43-3.45, 3 Sc 3.43, 3 Lu 3.45
Lu: 0.0000 0.0000 0.0000  5 In 3.02-3.30
In: 0.3333 0.6667 0.0000  3 Lu 3.02, 2 Sc 3.30

Values from the calculation:
electronic total energy = -4.59 eV per atom
SG = No. 187

# 2
YCuMoOs: relaxed, GGA-PBE.

a b c (Å): 4.5596 4.5596 4.5596
angles (deg): 60.00 60.00 60.00
Closest atoms and distances in Å follow each position.
Element x y z (fractional)
Os: 0.0000 0.0000 0.0000  4 Cu 2.79, 4 Y 2.79
Cu: 0.7500 0.7500 0.7500  4 Mo 2.79, 4 Os 2.79
Mo: 0.5000 0.5000 0.5000  4 Cu 2.79, 4 Y 2.79
Y: 0.2500 0.2500 0.2500  4 Mo 2.79, 4 Os 2.79

Values from the calculation:
ΔE_f = 66.3 kJ per mole of atoms
ΔE to the lowest computed polymorph = 1.997 eV per formula unit
SG = No. 216

# 3
TmIrI: relaxed, GGA-PBE.

a b c (Å): 4.4398 4.4398 13.2964
angles (deg): 90.00 90.00 120.00
Closest atoms and distances in Å follow each position.
Element x y z (fractional)
Ir: 0.6667 0.3333 0.8169  3 I 2.72, 3 Tm 2.80
Ir: 0.6667 0.3333 0.0594  3 I 2.58
Tm: 0.0000 0.0000 0.9011  3 Ir 2.80
I: 0.3333 0.6667 0.7490  3 Ir 2.72
Tm: 0.0000 0.0000 0.1940  6 Ir 2.82-3.13
Ir: 0.6667 0.3333 0.2817  6 Tm 2.82-2.90, 1 Ir 2.96
I: 0.0000 0.0000 0.5288  3 Tm 3.20
Tm: 0.3333 0.6667 0.3844  3 Ir 2.90, 3 I 3.20
I: 0.3333 0.6667 0.0407  3 Ir 2.58

Values from the calculation:
electronic total energy = -5.38 eV per atom
SG = No. 156